Below is a relaxed La3YO6 crystal, with properties calculated at the PBE-GGA level.

## Properties
As for the density of states at the Fermi level: 0.00 states/eV/cell. Its space-group type is R-3. The uncorrected formation energy comes out at -3.477 eV per atom. For the total energy, the calculation gives -8.577 eV/atom.

Cell: 7.080 7.080 7.080 Å, 91.84 91.84 91.84°
Element x y z (fractional)
1 La 0.056 0.563 0.752
2 La 0.248 0.944 0.437
3 La 0.437 0.248 0.944
4 La 0.563 0.752 0.056
5 La 0.752 0.056 0.563
6 La 0.944 0.437 0.248
7 Y 0.000 0.000 0.000
8 Y 0.500 0.500 0.500
9 O 0.034 0.904 0.692
10 O 0.096 0.308 0.966
11 O 0.192 0.588 0.437
12 O 0.308 0.966 0.096
13 O 0.412 0.563 0.808
14 O 0.437 0.192 0.588
15 O 0.563 0.808 0.412
16 O 0.588 0.437 0.192
17 O 0.692 0.034 0.904
18 O 0.808 0.412 0.563
19 O 0.904 0.692 0.034
20 O 0.966 0.096 0.308